1.
Computed, not measured: a geometry-optimized Ba2Mg9Zn3 structure at the PBE-GGA level of DFT.

As for the formation energy: -0.0844 eV per atom. Its magnetization is 0.0 μB per formula unit. Its final energy is -23.2 eV/f.u.

It has space group C2/c (No. 15), with a = 15.257 Å, b = 8.634 Å, c = 11.781 Å, α = 90.00°, β = 116.00° and γ = 90.00°. The asymmetric unit holds Ba at (0.169, 0.086, 0.243), Mg at (0.000, 0.367, 0.250), Mg at (0.058, 0.086, 0.917), Mg at (0.093, 0.417, 0.032), Mg at (0.101, 0.322, 0.741), Mg at (0.223, 0.419, 0.433), Zn at (0.089, 0.234, 0.501) and Zn at (0.250, 0.250, 0.000).

***

2.
Computed, not measured: a geometry-optimized Ba3MgZn structure at the PBE-GGA level of DFT.

The energy above the most stable polymorph in this dataset is 0 meV/atom. As for the formation energy: -0.0708 eV per atom. Its magnetization is 0.0 μB per formula unit. Its final energy is -9.0 eV/f.u.

It has space group Cmcm (No. 63), with a = 6.041 Å, b = 23.728 Å, c = 6.037 Å, α = 90.00°, β = 90.00° and γ = 90.00°. The asymmetric unit holds Ba at (0.000, 0.074, 0.250), Ba at (0.000, 0.250, 0.250), Ba at (0.000, 0.425, 0.250), Mg at (0.000, 0.159, 0.750) and Zn at (0.000, 0.343, 0.750).

***

3.
Computed, not measured: a geometry-optimized Ba3Mg8Zn3 structure at the PBE-GGA level of DFT.

As for the formation energy: -0.0616 eV per atom. Its magnetization is 0.0 μB per formula unit. Its final energy is -23.2 eV/f.u.

It has space group Immm (No. 71), with a = 5.042 Å, b = 11.194 Å, c = 14.448 Å, α = 90.00°, β = 90.00° and γ = 90.00°. The asymmetric unit holds Ba at (0.000, 0.000, 0.000), Ba at (0.000, 0.000, 0.325), Mg at (0.000, 0.289, 0.105), Mg at (0.000, 0.346, 0.320), Zn at (0.000, 0.243, 0.500) and Zn at (0.000, 0.500, 0.000).

***

4.
Computed, not measured: a geometry-optimized Ba3MgZn2 structure at the PBE-GGA level of DFT.

As for the formation energy: -0.1241 eV per atom. Its magnetization is 0.0 μB per formula unit. Its final energy is -10.7 eV/f.u.

It has space group P4/mmm (No. 123), with a = 4.161 Å, b = 4.161 Å, c = 12.755 Å, α = 90.00°, β = 90.00° and γ = 90.00°. The asymmetric unit holds Ba at (0.000, 0.000, 0.000), Ba at (0.000, 0.000, 0.317), Mg at (0.500, 0.500, 0.500) and Zn at (0.500, 0.500, 0.163).

***

5.
Computed, not measured: a geometry-optimized BaMgZn2 structure at the PBE-GGA level of DFT.

As for the formation energy: 0.0530 eV per atom. Its magnetization is 0.0 μB per formula unit. Its final energy is -5.9 eV/f.u.

It has space group P4/mmm (No. 123), with a = 5.243 Å, b = 5.243 Å, c = 4.054 Å, α = 90.00°, β = 90.00° and γ = 90.00°. The asymmetric unit holds Ba at (0.000, 0.000, 0.000), Mg at (0.500, 0.500, 0.000) and Zn at (0.000, 0.500, 0.500).

***

6.
Computed, not measured: a geometry-optimized BaMg2Zn2 structure at the PBE-GGA level of DFT.

The energy above the most stable polymorph in this dataset is 167 meV/atom. As for the formation energy: 0.0129 eV per atom. Its magnetization is 0.0 μB per formula unit. Its final energy is -7.6 eV/f.u.

It has space group P4/mbm (No. 127), with a = 8.531 Å, b = 8.531 Å, c = 3.441 Å, α = 90.00°, β = 90.00° and γ = 90.00°. The asymmetric unit holds Ba at (0.000, 0.000, 0.000), Mg at (0.162, 0.338, 0.500) and Zn at (0.119, 0.619, 0.000).